[1]
DFT (GGA-PBE) results for crystalline PI at its relaxed geometry.

Cell and atoms, written as POSCAR:
```
PI
1.0
3.284 0.000 0.000
0.000 9.185 0.000
0.000 0.000 15.178
P I
6 6
Direct
0.000 0.066 0.727
0.500 0.934 0.773
0.500 0.934 0.227
0.000 0.066 0.273
0.000 0.418 0.000
0.500 0.582 0.500
0.000 0.586 0.876
0.500 0.414 0.624
0.500 0.414 0.376
0.000 0.586 0.124
0.000 0.999 0.500
0.500 0.001 0.000
```

As for the energy above the most stable polymorph in this dataset: 0.263 eV per atom. As for the symmetry: Pmmn, No. 59. The total magnetization comes out at 0.00 μB per formula unit. For the volume, the calculation gives 457.9 Å³/cell.


[2]
DFT (GGA-PBE) results for crystalline PI at its relaxed geometry.

Cell and atoms, written as POSCAR:
```
PI
1.0
-2.318 -1.676 2.786
3.236 -0.852 2.179
-0.287 3.142 1.639
I P
1 1
Direct
0.567 0.930 0.628
0.067 0.430 0.628
```

As for the energy above the most stable polymorph in this dataset: 0.742 eV per atom. As for the symmetry: C2/m, No. 12. The total magnetization comes out at 0.00 μB per formula unit. For the volume, the calculation gives 56.7 Å³/cell.


The calculation returns the following ΔE_f (raw) values, one per record and in order: 0.6; 1.6 eV per formula unit.